#P
VASP calculation (GGA-PBE) on crystalline La2PmRh2 at its relaxed geometry.

It has space group Cmc2_1 (No. 36), with a = 4.841 Å, b = 15.372 Å, c = 7.274 Å, α = 90.00°, β = 90.00° and γ = 90.00°. The distinct sites, in fractional coordinates, are La at (0.000, 0.074, 0.000), La at (0.000, 0.246, 0.658), Pm at (0.000, 0.424, 0.970), Rh at (0.000, 0.159, 0.330) and Rh at (0.000, 0.355, 0.334).

The value obtained for the total magnetic moment is 0.000 μB per atom. For the density of states at the Fermi level, the calculation gives 3.60 states/eV/f.u.



#Q
VASP calculation (GGA-PBE) on crystalline La2PmRh2 at its relaxed geometry.

It has space group P2_1/m (No. 11), with a = 6.013 Å, b = 4.356 Å, c = 10.809 Å, α = 90.00°, β = 99.40° and γ = 90.00°. The distinct sites, in fractional coordinates, are La at (0.107, 0.250, 0.380), La at (0.232, 0.750, 0.965), Pm at (0.457, 0.250, 0.705), Rh at (0.317, 0.250, 0.135) and Rh at (0.333, 0.750, 0.528).

The value obtained for the total magnetic moment is 0.000 μB per atom. For the density of states at the Fermi level, the calculation gives 2.76 states/eV/f.u.



Energies in meV/atom, measured from the most stable structure: #P 62; #Q 0.



#P
VASP calculation (GGA-PBE) on crystalline LaPmRh at its relaxed geometry.

It has space group F-43m (No. 216), with a = 7.029 Å, b = 7.029 Å, c = 7.029 Å, α = 90.00°, β = 90.00° and γ = 90.00°. The distinct sites, in fractional coordinates, are La at (0.000, 0.000, 0.000), Pm at (0.000, 0.000, 0.500) and Rh at (0.250, 0.250, 0.250).

The value obtained for the total magnetic moment is 0.000 μB per atom. For the density of states at the Fermi level, the calculation gives 2.40 states/eV/f.u.



#Q
VASP calculation (GGA-PBE) on crystalline LaPmRh at its relaxed geometry.

It has space group P3m1 (No. 156), with a = 4.1471 Å, b = 4.1471 Å, c = 6.4992 Å, α = 90.00°, β = 90.00° and γ = 120.00°. The distinct sites, in fractional coordinates, are La at (0.0000, 0.0000, 0.0000), Pm at (0.6667, 0.3333, 0.5286) and Rh at (0.3333, 0.6667, 0.7660).

The value obtained for the total magnetic moment is 0.000 μB per atom. For the density of states at the Fermi level, the calculation gives 2.98 states/eV/f.u.



#R
VASP calculation (GGA-PBE) on crystalline LaPmRh at its relaxed geometry.

It has space group C2/m (No. 12), with a = 16.219 Å, b = 4.305 Å, c = 10.009 Å, α = 90.00°, β = 92.23° and γ = 90.00°. The distinct sites, in fractional coordinates, are La at (0.061, 0.000, 0.168), La at (0.070, 0.500, 0.619), Pm at (0.174, 0.500, 0.950), Pm at (0.226, 0.500, 0.346), Rh at (0.116, 0.000, 0.798) and Rh at (0.128, 0.000, 0.454).

The value obtained for the total magnetic moment is 0.000 μB per atom. For the density of states at the Fermi level, the calculation gives 2.69 states/eV/f.u.



#S
VASP calculation (GGA-PBE) on crystalline LaPmRh at its relaxed geometry.

It has space group I4mm (No. 107), with a = 3.586 Å, b = 3.586 Å, c = 13.292 Å, α = 90.00°, β = 90.00° and γ = 90.00°. The distinct sites, in fractional coordinates, are La at (0.000, 0.000, 0.000), Pm at (0.000, 0.000, 0.252) and Rh at (0.000, 0.000, 0.629).

The value obtained for the total magnetic moment is 0.000 μB per atom. For the density of states at the Fermi level, the calculation gives 3.43 states/eV/f.u.



Energies in meV/atom, measured from the most stable structure: #P 34; #Q 0; #R 54; #S 62.



#P
VASP calculation (GGA-PBE) on crystalline La3PmRh at its relaxed geometry.

It has space group Cm (No. 8), with a = 12.422 Å, b = 3.905 Å, c = 14.291 Å, α = 90.00°, β = 113.46° and γ = 90.00°. The distinct sites, in fractional coordinates, are La at (0.000, 0.000, 0.000), La at (0.002, 0.000, 0.364), La at (0.156, 0.500, 0.235), La at (0.158, 0.500, 0.600), La at (0.331, 0.000, 0.467), La at (0.444, 0.000, 0.749), Pm at (0.216, 0.000, 0.851), Pm at (0.324, 0.000, 0.124), Rh at (0.001, 0.000, 0.631) and Rh at (0.159, 0.500, 0.971).

The value obtained for the total magnetic moment is 0.000 μB per atom. For the density of states at the Fermi level, the calculation gives 6.54 states/eV/f.u.



#Q
VASP calculation (GGA-PBE) on crystalline La3PmRh at its relaxed geometry.

It has space group Pmn2_1 (No. 31), with a = 7.931 Å, b = 6.775 Å, c = 6.470 Å, α = 90.00°, β = 90.00° and γ = 90.00°. The distinct sites, in fractional coordinates, are La at (0.000, 0.148, 0.000), La at (0.249, 0.681, 0.003), Pm at (0.000, 0.844, 0.509) and Rh at (0.000, 0.497, 0.251).

The value obtained for the total magnetic moment is 0.000 μB per atom. For the density of states at the Fermi level, the calculation gives 6.99 states/eV/f.u.



Energies in meV/atom, measured from the most stable structure: #P 0; #Q 71.